Entry 1:
Entry from Alexandria via LeMat-Bulk: NaSb2Pb2 after structural relaxation (PBEsol).

Computed properties:
The calculation puts the final energy at -3.756 eV per atom. The density of states at the Fermi level comes out at 0.450 states/eV/atom.

Lattice parameters (Å, degrees): 8.6231 8.6231 4.0339 90.00 90.00 90.00
Space group P4/mbm (No. 127)
Symmetry-distinct sites (fractional):
Na 0.0000 0.0000 0.0000
Sb 0.1480 0.3520 0.0000
Pb 0.1453 0.6453 0.5000



Entry 2:
Entry from Alexandria via LeMat-Bulk: NaSbPb2 after structural relaxation (PBEsol).

Computed properties:
The calculation puts the final energy at -3.547 eV per atom. The density of states at the Fermi level comes out at 0.438 states/eV/atom.

Lattice parameters (Å, degrees): 8.7024 8.7024 6.4853 90.00 90.00 90.00
Space group I-42d (No. 122)
Symmetry-distinct sites (fractional):
Na 0.0000 0.0000 0.0000
Sb 0.0000 0.0000 0.5000
Pb 0.2220 0.7500 0.6250



Entry 3:
Entry from Alexandria via LeMat-Bulk: NaSb2Pb2 after structural relaxation (PBEsol).

Computed properties:
The calculation puts the final energy at -3.711 eV per atom. The density of states at the Fermi level comes out at 0.542 states/eV/atom.

Lattice parameters (Å, degrees): 4.7355 4.7355 14.5353 90.00 90.00 90.00
Space group I4/mmm (No. 139)
Symmetry-distinct sites (fractional):
Na 0.0000 0.0000 0.0000
Sb 0.0000 0.0000 0.4007
Pb 0.0000 0.5000 0.2500



Entry 4:
Entry from Alexandria via LeMat-Bulk: Na2Sb2Pb after structural relaxation (PBEsol).

Computed properties:
The calculation puts the final energy at -3.379 eV per atom. The density of states at the Fermi level comes out at 0.327 states/eV/atom.

Lattice parameters (Å, degrees): 9.1647 9.1647 3.2314 90.00 90.00 90.00
Space group P4/mbm (No. 127)
Symmetry-distinct sites (fractional):
Na 0.1203 0.3797 0.0000
Sb 0.1780 0.6780 0.5000
Pb 0.0000 0.0000 0.5000



Entry 5:
Entry from Alexandria via LeMat-Bulk: NaSrSbPb2 after structural relaxation (PBEsol).

Computed properties:
The calculation puts the final energy at -3.064 eV per atom. The density of states at the Fermi level comes out at 0.674 states/eV/atom.

Lattice parameters (Å, degrees): 5.8993 5.8993 5.4649 90.00 90.00 90.00
Space group P4/mmm (No. 123)
Symmetry-distinct sites (fractional):
Na 0.0000 0.0000 0.0000
Sr 0.5000 0.5000 0.0000
Sb 0.0000 0.0000 0.5000
Pb 0.0000 0.5000 0.5000



Entry 6:
Entry from Alexandria via LeMat-Bulk: NaSb2TePb after structural relaxation (PBEsol).

Computed properties:
The calculation puts the final energy at -3.020 eV per atom. The density of states at the Fermi level comes out at 1.017 states/eV/atom.

Lattice parameters (Å, degrees): 5.3129 5.3129 5.4967 90.00 90.00 90.00
Space group P4/mmm (No. 123)
Symmetry-distinct sites (fractional):
Na 0.0000 0.0000 0.0000
Sb 0.0000 0.5000 0.0000
Te 0.0000 0.0000 0.5000
Pb 0.5000 0.5000 0.5000



Q: Which of these has the highest final energy?
A: NaSb2TePb



Q: Which of these has the highest final energy?
A: NaSb2TePb



Q: What is the formula in the first record?
A: NaSb2Pb2